Record 1
Below is Cs2HfSiF6 after structural relaxation, with properties calculated at the PBE level.

- Raw total energy: -5.51 eV per atom
- Volume: 23.5 Å³ per atom

The structure in CIF format:
```
data_Cs2HfSiF6
_cell_length_a 6.202
_cell_length_b 6.202
_cell_length_c 12.195
_cell_angle_alpha 90.00
_cell_angle_beta 90.00
_cell_angle_gamma 90.00
_symmetry_space_group_name_H-M 'I 4/m m m'
_symmetry_Int_Tables_number 139
_symmetry_space_group_name_Hall '-I 4 2'
loop_
_atom_site_label
_atom_site_type_symbol
_atom_site_fract_x
_atom_site_fract_y
_atom_site_fract_z
Cs1 Cs 0.000 0.500 0.250
Hf1 Hf 0.000 0.000 0.000
Si1 Si 0.000 0.000 0.500
F1 F 0.000 0.000 0.165
F2 F 0.229 0.229 0.000
```



Record 2
Below is CsHfTe2F after structural relaxation, with properties calculated at the PBE level.

- Raw total energy: -5.29 eV per atom
- Volume: 29.3 Å³ per atom

The structure in CIF format:
```
data_CsHfTe2F
_cell_length_a 5.818
_cell_length_b 5.818
_cell_length_c 4.334
_cell_angle_alpha 90.00
_cell_angle_beta 90.00
_cell_angle_gamma 90.00
_symmetry_space_group_name_H-M 'P 4/m m m'
_symmetry_Int_Tables_number 123
_symmetry_space_group_name_Hall '-P 4 2'
loop_
_atom_site_label
_atom_site_type_symbol
_atom_site_fract_x
_atom_site_fract_y
_atom_site_fract_z
Cs1 Cs 0.000 0.000 0.000
Hf1 Hf 0.500 0.500 0.500
Te1 Te 0.000 0.500 0.500
F1 F 0.500 0.500 0.000
```



Record 3
Below is Cs2HfTeF6 after structural relaxation, with properties calculated at the PBE level.

- Raw total energy: -5.45 eV per atom
- Volume: 26.8 Å³ per atom

The structure in CIF format:
```
data_Cs2HfTeF6
_cell_length_a 6.968
_cell_length_b 6.968
_cell_length_c 11.024
_cell_angle_alpha 90.00
_cell_angle_beta 90.00
_cell_angle_gamma 90.00
_symmetry_space_group_name_H-M 'I 4/m m m'
_symmetry_Int_Tables_number 139
_symmetry_space_group_name_Hall '-I 4 2'
loop_
_atom_site_label
_atom_site_type_symbol
_atom_site_fract_x
_atom_site_fract_y
_atom_site_fract_z
Cs1 Cs 0.000 0.500 0.250
Hf1 Hf 0.000 0.000 0.000
Te1 Te 0.000 0.000 0.500
F1 F 0.000 0.000 0.182
F2 F 0.204 0.204 0.000
```



> volume of number 1 (Cs2HfSiF6)?

23.5 Å³ per atom



> Among the records above, which one has the lowest raw total energy?

Cs2HfSiF6



> What is the formula in the first record?

Cs2HfSiF6